Compound: LiPtSe
Source: the Alexandria database
Functional: GGA-PBEsol
Structure: relaxed

Structure (POSCAR):
```
LiPtSe
1.0
-1.7144 1.7144 3.8195
1.7144 -1.7144 3.8195
1.7144 1.7144 -3.8195
Li Pt Se
1 1 1
Direct
0.0000 0.0000 0.0000
0.6563 0.6563 0.0000
0.3303 0.3303 0.0000
```

Values from the calculation:
ΔE to the lowest computed polymorph: 0.131 eV/atom
N(E_F): 1.51 states/eV/f.u.
Total magnetic moment: 0.00 μB per atom
Uncorrected formation energy: -0.364 eV/atom
Symmetry: I4mm
Total DFT energy (no corrections): -13.9 eV/cell